Density functional theory data (GGA-PBE) for a geometry-optimized MgPtI2 structure.

Values from the calculation:
Uncorrected energy, eV per atom: -2.814
Total magnetic moment, μB/f.u.: 0.00
E_form (uncorrected), eV per atom: -0.130
Excess energy over the best structure of this formula in the dataset, kJ/mol of formula units: 0
D(E_F), states/eV per cell: 0.0

a b c (Å): 6.220 6.220 7.954
angles (deg): 66.98 66.98 90.00
Sites, in units of the cell vectors:
I: 0.640 0.125 0.250
I: 0.110 0.625 0.250
I: 0.375 0.360 0.750
I: 0.875 0.890 0.750
Mg: 0.500 0.500 0.000
Mg: 0.250 0.750 0.500
Pt: 0.000 0.000 0.000
Pt: 0.750 0.250 0.500